1.
Below is a geometry-optimized CeThCCl structure, with properties calculated at the PBE-GGA level.

```
CeThCCl
1.0
-3.096 -0.247 1.909
-0.039 -0.465 -3.623
3.235 -7.019 0.863
C Cl Th Ce
1 1 1 1
direct
0.300 0.548 0.863
0.972 0.384 0.369
0.098 0.947 0.060
0.509 0.152 0.677
```

## Properties
Its space group is Cm (8). The energy relative to the elements, uncorrected is -3.83 eV/f.u. The magnetic moment comes out at 1.01 μB/f.u. The value obtained for the density of states at the Fermi level is 4.4 states/eV/cell. The calculated total energy is -28.3 eV for the cell shown. The value obtained for the density is 8.08 g cm⁻³.

2.
Below is a geometry-optimized Ce2TmC2Cl2 structure, with properties calculated at the PBE-GGA level.

```
Ce2TmC2Cl2
1.0
-2.352 -3.660 1.355
2.561 -2.641 -2.689
4.457 2.181 5.966
Cl Ce C Tm
2 2 2 1
direct
0.196 0.196 0.392
0.804 0.804 0.608
0.597 0.597 0.193
0.403 0.403 0.807
0.500 0.000 0.000
0.000 0.500 0.000
0.000 0.000 0.000
```

## Properties
Its space group is I4/mmm (139). The energy relative to the elements, uncorrected is -5.98 eV/f.u. The magnetic moment comes out at 1.07 μB/f.u. The value obtained for the density of states at the Fermi level is 5.8 states/eV/cell. The calculated total energy is -44.5 eV for the cell shown. The value obtained for the density is 6.16 g cm⁻³.

3.
Below is a geometry-optimized Ce2CoC structure, with properties calculated at the PBE-GGA level.

```
Ce2CoC
1.0
-0.143 3.449 -3.732
-5.646 0.938 1.084
2.230 6.537 5.957
Ce C Co
8 4 4
direct
0.234 0.602 0.903
0.766 0.398 0.097
0.266 0.602 0.597
0.266 0.102 0.403
0.766 0.898 0.903
0.734 0.398 0.403
0.234 0.102 0.097
0.734 0.898 0.597
0.000 0.250 0.613
0.500 0.750 0.113
0.500 0.250 0.887
0.000 0.750 0.387
0.250 0.628 0.250
0.250 0.128 0.750
0.750 0.372 0.750
0.750 0.872 0.250
```

## Properties
Its formation energy is -75 meV per atom. Its space group is Pnna (52). The magnetic moment comes out at 0.00 μB/f.u. The value obtained for the density of states at the Fermi level is 26.8 states/eV/cell. The calculated total energy is -114.0 eV for the cell shown. The relative energy among the computed polymorphs is 0 meV per atom. The value obtained for the density is 8.64 g cm⁻³.

4.
Below is a geometry-optimized CeCo4C structure, with properties calculated at the PBE-GGA level.

```
CeCo4C
1.0
-3.074 0.275 -3.559
-3.498 -2.446 2.838
1.321 6.560 2.476
Co C Ce
8 2 2
direct
0.509 0.124 0.786
0.723 0.375 0.214
0.491 0.876 0.214
0.277 0.625 0.786
0.123 0.140 0.434
0.690 0.360 0.567
0.310 0.640 0.433
0.877 0.860 0.566
0.000 0.500 0.500
0.500 0.000 0.500
0.182 0.251 0.000
0.818 0.749 0.000
```

## Properties
Its formation energy is 35 meV per atom. Its space group is P-1 (2). The magnetic moment comes out at 1.80 μB/f.u. The value obtained for the density of states at the Fermi level is 16.5 states/eV/cell. The calculated total energy is -86.7 eV for the cell shown. The value obtained for the density is 8.62 g cm⁻³.

5.
Below is a geometry-optimized Ce2CoC4 structure, with properties calculated at the PBE-GGA level.

```
Ce2CoC4
1.0
4.777 0.000 1.898
1.687 5.979 2.715
0.073 0.064 6.779
C Co Ce
8 2 4
direct
0.583 0.751 0.084
0.917 0.916 0.249
0.623 0.533 0.221
0.377 0.467 0.779
0.417 0.249 0.916
0.877 0.779 0.467
0.083 0.084 0.751
0.123 0.221 0.533
0.250 0.000 0.000
0.750 0.000 0.000
0.857 0.467 0.818
0.643 0.182 0.533
0.143 0.533 0.182
0.357 0.818 0.467
```

## Properties
Its formation energy is -195 meV per atom. Its space group is Ibam (72). The magnetic moment comes out at 0.99 μB/f.u. The value obtained for the density of states at the Fermi level is 16.1 states/eV/cell. The calculated total energy is -114.5 eV for the cell shown. The value obtained for the density is 6.69 g cm⁻³.

6.
Below is a geometry-optimized Ce6Co2C structure, with properties calculated at the PBE-GGA level.

```
Ce6Co2C
1.0
-0.375 -5.219 -3.304
5.968 -2.023 2.519
-4.495 -4.352 7.153
Ce C Co
12 2 4
direct
0.854 0.648 0.058
0.115 0.061 0.251
0.146 0.352 0.942
0.354 0.852 0.558
0.371 0.841 0.944
0.615 0.439 0.751
0.385 0.561 0.249
0.646 0.148 0.442
0.885 0.939 0.749
0.871 0.659 0.444
0.129 0.341 0.556
0.629 0.159 0.056
0.500 0.500 0.000
0.000 0.000 0.500
0.554 0.866 0.256
0.946 0.366 0.244
0.054 0.634 0.756
0.446 0.134 0.744
```

## Properties
Its formation energy is -145 meV per atom. Its space group is P2_1/c (14). The magnetic moment comes out at 0.00 μB/f.u. The value obtained for the density of states at the Fermi level is 37.7 states/eV/cell. The calculated total energy is -120.7 eV for the cell shown. The value obtained for the density is 8.08 g cm⁻³.

7.
Below is a geometry-optimized CeCoC2 structure, with properties calculated at the PBE-GGA level.

```
CeCoC2
1.0
-2.595 -2.692 -0.037
2.188 -2.077 -2.209
2.947 -4.244 5.290
Ce Co C
2 2 4
direct
0.064 0.932 0.999
0.932 0.064 0.499
0.375 0.510 0.695
0.510 0.375 0.195
0.858 0.491 0.775
0.594 0.443 0.928
0.443 0.594 0.428
0.491 0.858 0.275
```

## Properties
Its formation energy is -301 meV per atom. Its space group is Cc (9). The magnetic moment comes out at 0.38 μB/f.u. The value obtained for the density of states at the Fermi level is 8.7 states/eV/cell. The calculated total energy is -65.4 eV for the cell shown. The value obtained for the density is 7.29 g cm⁻³.

8.
Below is a geometry-optimized Ce2CoC structure, with properties calculated at the PBE-GGA level.

```
Ce2CoC
1.0
-2.880 1.781 0.188
-1.429 0.601 3.017
2.604 7.262 1.694
Ce C Co
2 1 1
direct
0.101 0.101 0.696
0.899 0.899 0.304
0.500 0.500 0.500
0.000 0.000 0.000
```

## Properties
Its formation energy is 206 meV per atom. Its space group is R-3m (166). The magnetic moment comes out at 0.00 μB/f.u. The value obtained for the density of states at the Fermi level is 4.8 states/eV/cell. The calculated total energy is -27.4 eV for the cell shown. The relative energy among the computed polymorphs is 281 meV per atom. The value obtained for the density is 7.65 g cm⁻³.